VASP calculation (PBE-GGA) on an optimized crystal structure of TbGeTe2.

a = 4.3999 Å, b = 4.3999 Å, c = 20.9041 Å
α = 90.00°, β = 90.00°, γ = 120.00°
Space group R-3m (No. 166, hexagonal axes)
Asymmetric unit:
Tb  0.0000  0.0000  0.0000 (multiplicity 3)
Ge  0.0000  0.0000  0.5000 (multiplicity 3)
Te  0.0000  0.0000  0.2451 (multiplicity 6)

Calculated values
density of states at the Fermi level = 0.75 states/eV/atom
energy = -53.72 eV per cell
raw formation energy = -2.38 eV per formula unit



VASP calculation (PBE-GGA) on an optimized crystal structure of TbThGeTe.

a = 4.3164 Å, b = 4.3164 Å, c = 21.6018 Å
α = 90.00°, β = 90.00°, γ = 120.00°
Space group R3m (No. 160, hexagonal axes)
Asymmetric unit:
Tb  0.0000  0.0000  0.0000 (multiplicity 3)
Th  0.0000  0.0000  0.4793 (multiplicity 3)
Ge  0.0000  0.0000  0.7378 (multiplicity 3)
Te  0.0000  0.0000  0.2423 (multiplicity 3)

Calculated values
density of states at the Fermi level = 0.49 states/eV/atom
energy = -72.71 eV per cell
raw formation energy = -4.43 eV per formula unit